# Sr2ZnNi2, relaxed, DFT GGA-PBE
# **Density of states at the Fermi level**: 2.7 states/eV/f.u.
# **Magnetic moment**: 0.00 μB/atom
# **ΔH_f (0 K)**: -0.109 eV per atom
data_Sr2ZnNi2
_chemical_formula_sum 'Sr4 Zn2 Ni4'
_space_group_name_H-M_alt 'P 1'
_space_group_IT_number 1
_cell_length_a 5.6942
_cell_length_b 5.6942
_cell_length_c 7.9707
_cell_angle_alpha 100.71
_cell_angle_beta 100.71
_cell_angle_gamma 62.11
loop_
_space_group_symop_operation_xyz
'x,y,z'
loop_
_atom_site_label
_atom_site_type_symbol
_atom_site_fract_x
_atom_site_fract_y
_atom_site_fract_z
Sr1 Sr 0.0118 0.2855 0.1470
Sr2 Sr 0.2855 0.0118 0.6470
Sr3 Sr 0.7145 0.9882 0.3530
Sr4 Sr 0.9882 0.7145 0.8530
Zn1 Zn 0.3978 0.6022 0.2500
Zn2 Zn 0.6022 0.3978 0.7500
Ni1 Ni 0.2230 0.5025 0.4941
Ni2 Ni 0.4975 0.7770 0.0059
Ni3 Ni 0.5025 0.2230 0.9941
Ni4 Ni 0.7770 0.4975 0.5059